[1]
Density functional theory data (PBE-GGA) for a relaxed Sm2Pd3Pt2 crystal.

Values from the calculation:
* D(E_F): 3.86 states/eV/cell

Lattice parameters (Å, degrees): 4.078 5.289 9.292 124.80 90.00 112.67
Sites, in units of the cell vectors:
Sm 0.434 0.869 0.235
Sm 0.566 0.131 0.765
Pd 0.000 0.000 0.500
Pd 0.670 0.341 0.149
Pd 0.330 0.659 0.851
Pt 0.239 0.479 0.393
Pt 0.761 0.521 0.607

---

[2]
Density functional theory data (PBE-GGA) for a relaxed Sm6Pd5Pt crystal.

Values from the calculation:
* D(E_F): 7.89 states/eV/cell

Lattice parameters (Å, degrees): 7.176 7.224 7.221 59.99 80.32 70.37
Sites, in units of the cell vectors:
Sm 0.753 0.082 0.330
Sm 0.247 0.588 0.330
Sm 0.250 0.247 0.000
Sm 0.750 0.753 0.000
Sm 0.753 0.412 0.670
Sm 0.247 0.918 0.670
Pd 0.500 0.168 0.663
Pd 0.000 0.334 0.332
Pd 0.500 0.500 0.000
Pd 0.000 0.666 0.668
Pd 0.500 0.832 0.337
Pt 0.000 0.000 0.000

---

[3]
Density functional theory data (PBE-GGA) for a relaxed SmPd4Pt crystal.

Values from the calculation:
* D(E_F): 10.51 states/eV/cell

Lattice parameters (Å, degrees): 4.194 6.887 7.645 90.00 90.00 90.00
Sites, in units of the cell vectors:
Sm 0.000 0.659 0.750
Sm 0.000 0.341 0.250
Pd 0.000 0.000 0.500
Pd 0.000 0.000 0.000
Pd 0.500 0.969 0.750
Pd 0.500 0.031 0.250
Pd 0.500 0.698 0.034
Pd 0.500 0.302 0.966
Pd 0.500 0.698 0.466
Pd 0.500 0.302 0.534
Pt 0.000 0.263 0.750
Pt 0.000 0.737 0.250

---

[4]
Density functional theory data (PBE-GGA) for a relaxed SmPdPt crystal.

Values from the calculation:
* D(E_F): 5.00 states/eV/cell

Lattice parameters (Å, degrees): 7.660 5.916 5.909 90.00 90.00 112.60
Sites, in units of the cell vectors:
Pt 0.764 0.631 0.000
Pt 0.236 0.869 0.500
Pt 0.236 0.369 0.000
Pt 0.764 0.131 0.500
Sm 0.175 0.838 0.000
Sm 0.825 0.662 0.500
Sm 0.825 0.162 0.000
Sm 0.175 0.338 0.500
Pd 0.500 0.250 0.250
Pd 0.500 0.250 0.750
Pd 0.500 0.750 0.750
Pd 0.500 0.750 0.250

---

Number 1: ΔH_f (0 K) -0.687 eV/atom. Number 2: ΔH_f (0 K) -0.763 eV/atom. Number 3: ΔH_f (0 K) -0.435 eV/atom. Number 4: ΔH_f (0 K) -0.971 eV/atom.